Entry 1:
This record from the Alexandria database describes TaCl after structural relaxation. The functional is PBE-GGA.

Properties
Crystal system: monoclinic
Space-group type: Cm, No. 8
Energy relative to the elements, uncorrected, eV per atom: -0.201
Raw total energy, eV per atom: -7.051

Lattice parameters (Å, degrees): 5.8168 5.8168 9.2378 115.63 115.63 31.40
With the nearest neighbours (Å) after each atom.
Element x y z (fractional)
Ta  0.0000  0.0000  0.0000  3 Ta 2.57-2.65
Ta  0.0721  0.0721  0.3064  4 Cl 2.46-2.48, 1 Ta 2.57
Ta  0.3240  0.3240  0.0331  3 Cl 2.47-2.73, 2 Ta 2.65
Cl  0.4138  0.4138  0.3306  3 Ta 2.46-2.47
Cl  0.6160  0.6160  0.8344  4 Ta 2.73-2.88
Cl  0.7487  0.7487  0.4848  2 Ta 2.48


Entry 2:
This record from the Alexandria database describes Ac3GaHg4 after structural relaxation. The functional is PBE-GGA.

Properties
Crystal system: orthorhombic
Space-group type: Immm, No. 71
Energy of formation, eV per atom: -0.3626
Raw total energy, eV per atom: -2.433

Lattice parameters (Å, degrees): 8.3753 8.3753 8.3753 150.74 110.84 76.81
With the nearest neighbours (Å) after each atom.
Element x y z (fractional)
Ac  0.0000  0.0000  0.0000  8 Hg 3.47
Ac  0.3078  0.8078  0.5000  2 Ga 3.29, 6 Hg 3.29-3.42
Ac  0.6922  0.1922  0.5000  2 Ga 3.29, 6 Hg 3.29-3.42
Ga  0.5000  0.5000  0.0000  4 Hg 3.00, 4 Ac 3.29
Hg  0.1113  0.3774  0.7339  1 Ga 3.00, 1 Hg 3.22, 1 Ac 3.29
Hg  0.3565  0.6226  0.7339  1 Ga 3.00, 1 Hg 3.22, 1 Ac 3.29
Hg  0.6435  0.3774  0.2661  1 Ga 3.00, 1 Hg 3.22, 1 Ac 3.29
Hg  0.8887  0.6226  0.2661  1 Ga 3.00, 1 Hg 3.22, 1 Ac 3.29


Entry 3:
This record from the Alexandria database describes CaZr2 after structural relaxation. The functional is PBE-GGA.

Properties
Crystal system: monoclinic
Space-group type: P2_1/m, No. 11
Energy of formation, eV per atom: 0.1863
Raw total energy, eV per atom: -6.180

Lattice parameters (Å, degrees): 3.2752 5.3375 9.4508 90.00 90.11 90.00
With the nearest neighbours (Å) after each atom.
Element x y z (fractional)
Ca  0.2480  0.2500  0.1113  2 Ca 3.28, 6 Zr 3.52-3.56
Ca  0.7520  0.7500  0.8887  2 Ca 3.28, 6 Zr 3.52-3.56
Zr  0.2504  0.7500  0.5547  10 Zr 3.06-3.30
Zr  0.2515  0.2500  0.7188  6 Zr 3.06-3.28
Zr  0.7485  0.7500  0.2812  6 Zr 3.06-3.28
Zr  0.7496  0.2500  0.4453  10 Zr 3.06-3.30


Entry 4:
This record from the Alexandria database describes NbNi2PdN after structural relaxation. The functional is PBE-GGA.

Properties
Crystal system: tetragonal
Space-group type: P4/mmm, No. 123
Energy relative to the elements, uncorrected, eV per atom: -0.266
Raw total energy, eV per atom: -7.296

Lattice parameters (Å, degrees): 3.8722 3.8722 4.1520 90.00 90.00 90.00
With the nearest neighbours (Å) after each atom.
Element x y z (fractional)
Nb  0.0000  0.0000  0.0000  2 N 2.08
Ni  0.0000  0.5000  0.5000  2 N 1.94
Ni  0.5000  0.0000  0.5000  2 N 1.94
Pd  0.5000  0.5000  0.0000  4 Nb 2.74, 8 Ni 2.84
N  0.0000  0.0000  0.5000  4 Ni 1.94, 2 Nb 2.08


Entry 5:
This record from the Alexandria database describes CrNi14Sn after structural relaxation. The functional is PBE-GGA.

Properties
Crystal system: tetragonal
Space-group type: P4/mmm, No. 123
Energy of formation, eV per atom: -0.0041
Raw total energy, eV per atom: -5.914

Lattice parameters (Å, degrees): 5.0937 5.0937 7.0692 90.00 90.00 90.00
With the nearest neighbours (Å) after each atom.
Element x y z (fractional)
Cr  0.0000  0.0000  0.0000  12 Ni 2.53-2.55
Ni  0.0000  0.0000  0.5000  12 Ni 2.45-2.55
Ni  0.0000  0.5000  0.0000  2 Cr 2.55, 2 Sn 2.55, 8 Ni 2.56
Ni  0.0000  0.5000  0.5000  12 Ni 2.48-2.55
Ni  0.2435  0.2435  0.2582  10 Ni 2.45-2.61, 1 Cr 2.53, 1 Sn 2.60
Ni  0.2435  0.2435  0.7418  10 Ni 2.45-2.61, 1 Cr 2.53, 1 Sn 2.60
Ni  0.2435  0.7565  0.2582  10 Ni 2.45-2.61, 1 Cr 2.53, 1 Sn 2.60
Ni  0.2435  0.7565  0.7418  10 Ni 2.45-2.61, 1 Cr 2.53, 1 Sn 2.60
Ni  0.5000  0.0000  0.0000  2 Cr 2.55, 2 Sn 2.55, 8 Ni 2.56
Ni  0.5000  0.0000  0.5000  12 Ni 2.48-2.55
Ni  0.5000  0.5000  0.5000  12 Ni 2.52-2.55
Ni  0.7565  0.2435  0.2582  10 Ni 2.45-2.61, 1 Cr 2.53, 1 Sn 2.60
Ni  0.7565  0.2435  0.7418  10 Ni 2.45-2.61, 1 Cr 2.53, 1 Sn 2.60
Ni  0.7565  0.7565  0.2582  10 Ni 2.45-2.61, 1 Cr 2.53, 1 Sn 2.60
Ni  0.7565  0.7565  0.7418  10 Ni 2.45-2.61, 1 Cr 2.53, 1 Sn 2.60
Sn  0.5000  0.5000  0.0000  12 Ni 2.55-2.60


Entry 6:
This record from the Alexandria database describes Ti2SeIN after structural relaxation. The functional is PBE-GGA.

Properties
Crystal system: tetragonal
Space-group type: P4/mmm, No. 123
Energy relative to the elements, uncorrected, eV per atom: 0.596
Raw total energy, eV per atom: -5.234

Lattice parameters (Å, degrees): 4.9405 4.9405 3.9022 90.00 90.00 90.00
With the nearest neighbours (Å) after each atom.
Element x y z (fractional)
Ti  0.0000  0.5000  0.0000  2 Se 2.47
Ti  0.5000  0.0000  0.0000  2 Se 2.47
Se  0.0000  0.0000  0.0000  2 N 1.95
I  0.5000  0.5000  0.5000  8 Ti 3.15, 4 N 3.49
N  0.0000  0.0000  0.5000  2 Se 1.95


Entry 7:
This record from the Alexandria database describes Re2BF after structural relaxation. The functional is PBE-GGA.

Properties
Crystal system: tetragonal
Space-group type: I-42d, No. 122
Energy relative to the elements, uncorrected, eV per atom: 0.373
Raw total energy, eV per atom: -7.988

Lattice parameters (Å, degrees): 5.5703 5.5703 5.5703 96.82 96.82 139.67
With the nearest neighbours (Å) after each atom.
Element x y z (fractional)
Re  0.0219  0.6250  0.8969  2 B 2.20, 2 Re 2.45
Re  0.3750  0.2719  0.3969  2 B 2.20, 2 Re 2.45
Re  0.7281  0.1250  0.1031  2 B 2.20, 2 Re 2.45
Re  0.8750  0.9781  0.6031  2 B 2.20, 2 Re 2.45
B  0.0000  0.0000  0.0000  2 F 1.92
B  0.7500  0.2500  0.5000  2 F 1.92
F  0.2500  0.7500  0.5000  2 B 1.92
F  0.5000  0.5000  0.0000  2 B 1.92


Entry 8:
This record from the Alexandria database describes Sm6Si2I3Cl after structural relaxation. The functional is PBE-GGA.

Properties
Crystal system: monoclinic
Space-group type: C2/m, No. 12
Energy relative to the elements, uncorrected, eV per atom: -0.996
Raw total energy, eV per atom: -4.801

Lattice parameters (Å, degrees): 7.3408 7.3408 7.9603 98.84 98.84 120.04
With the nearest neighbours (Å) after each atom.
Element x y z (fractional)
Sm  0.0933  0.4359  0.8071  2 Si 2.82, 1 Cl 2.91
Sm  0.2220  0.2220  0.1921  2 Si 2.82, 1 Cl 2.90
Sm  0.4359  0.0933  0.8071  2 Si 2.82, 1 Cl 2.91
Sm  0.5641  0.9067  0.1929  2 Si 2.82, 1 Cl 2.91
Sm  0.7780  0.7780  0.8079  2 Si 2.82, 1 Cl 2.90
Sm  0.9067  0.5641  0.1929  2 Si 2.82, 1 Cl 2.91
Si  0.1666  0.8334  0.0000  6 Sm 2.82
Si  0.8334  0.1666  0.0000  6 Sm 2.82
I  0.0000  0.0000  0.5000  6 Sm 3.33-3.40
I  0.3323  0.6677  0.5000  6 Sm 3.32-3.41
I  0.6677  0.3323  0.5000  6 Sm 3.32-3.41
Cl  0.5000  0.5000  0.0000  6 Sm 2.90-2.91


Entry 9:
This record from the Alexandria database describes Tm6Hg2N after structural relaxation. The functional is PBE-GGA.

Properties
Crystal system: monoclinic
Space-group type: C2/m, No. 12
Energy relative to the elements, uncorrected, eV per atom: -0.619
Raw total energy, eV per atom: -4.592

Lattice parameters (Å, degrees): 6.7150 6.7150 6.7794 120.21 120.21 60.26
With the nearest neighbours (Å) after each atom.
Element x y z (fractional)
Tm  0.2062  0.7147  0.7158  1 N 2.37
Tm  0.2438  0.2438  0.1684  1 N 2.36
Tm  0.2853  0.7938  0.2842  1 N 2.37
Tm  0.7147  0.2062  0.7158  1 N 2.37
Tm  0.7562  0.7562  0.8316  1 N 2.36
Tm  0.7938  0.2853  0.2842  1 N 2.37
Hg  0.2505  0.2505  0.7450  5 Tm 2.92-3.10
Hg  0.7495  0.7495  0.2550  5 Tm 2.92-3.10
N  0.0000  0.0000  0.0000  6 Tm 2.36-2.37


Entry 10:
This record from the Alexandria database describes PuGa6O12 after structural relaxation. The functional is PBE-GGA.

Properties
Crystal system: trigonal
Space-group type: R-3, No. 148
Energy relative to the elements, uncorrected, eV per atom: -1.841
Raw total energy, eV per atom: -6.683

Lattice parameters (Å, degrees): 5.9844 5.9844 5.9844 99.30 99.30 99.30
With the nearest neighbours (Å) after each atom.
Element x y z (fractional)
Pu  0.0000  0.0000  0.0000  6 O 2.06
Ga  0.1449  0.6021  0.3458  6 O 1.96-2.14
Ga  0.3458  0.1449  0.6021  6 O 1.96-2.14
Ga  0.3979  0.6542  0.8551  6 O 1.96-2.14
Ga  0.6021  0.3458  0.1449  6 O 1.96-2.14
Ga  0.6542  0.8551  0.3979  6 O 1.96-2.14
Ga  0.8551  0.3979  0.6542  6 O 1.96-2.14
O  0.0640  0.6798  0.8723  2 Ga 2.05, 1 Pu 2.06
O  0.1277  0.9360  0.3202  2 Ga 2.05, 1 Pu 2.06
O  0.1798  0.3992  0.5812  4 Ga 1.96-2.14
O  0.3202  0.1277  0.9360  2 Ga 2.05, 1 Pu 2.06
O  0.3992  0.5812  0.1798  4 Ga 1.96-2.14
O  0.4188  0.8202  0.6008  4 Ga 1.96-2.14
O  0.5812  0.1798  0.3992  4 Ga 1.96-2.14
O  0.6008  0.4188  0.8202  4 Ga 1.96-2.14
O  0.6798  0.8723  0.0640  2 Ga 2.05, 1 Pu 2.06
O  0.8202  0.6008  0.4188  4 Ga 1.96-2.14
O  0.8723  0.0640  0.6798  2 Ga 2.05, 1 Pu 2.06
O  0.9360  0.3202  0.1277  2 Ga 2.05, 1 Pu 2.06


Entry 11:
This record from the Alexandria database describes ZnGaN3 after structural relaxation. The functional is PBE-GGA.

Properties
Crystal system: cubic
Space-group type: Pm-3m, No. 221
Energy relative to the elements, uncorrected, eV per atom: 1.948
Raw total energy, eV per atom: -3.908

Lattice parameters (Å, degrees): 3.8913 3.8913 3.8913 90.00 90.00 90.00
With the nearest neighbours (Å) after each atom.
Element x y z (fractional)
Zn  0.0000  0.0000  0.0000  6 N 1.95
Ga  0.5000  0.5000  0.5000  12 N 2.75
N  0.0000  0.0000  0.5000  2 Zn 1.95
N  0.0000  0.5000  0.0000  2 Zn 1.95
N  0.5000  0.0000  0.0000  2 Zn 1.95